VASP calculation (PBE) on a relaxed SrLiIr crystal.

Cell: 5.9452 12.9558 7.4478 Å, 90.00 90.00 90.00°
With the nearest neighbours (Å) after each atom.
Space group Cmce (No. 64)
Inequivalent atoms, fractional coordinates:
Sr1 0.0000 0.1769 0.0915  4 Ir 3.06-3.20, 2 Li 3.36
Li1 0.2500 0.0368 0.7500  4 Ir 2.62-2.85
Ir1 0.0000 0.0960 0.4801  1 Ir 2.51, 2 Li 2.62

Computed properties:
Energy relative to the elements, eV per atom: -0.010
DOS at the Fermi energy, states/eV per cell: 20.6
Relative energy among the computed polymorphs, meV per atom: 15

VASP calculation (PBE) on a relaxed SrLi2Ir crystal.

Cell: 3.4262 3.4262 7.4794 Å, 90.00 90.00 90.00°
With the nearest neighbours (Å) after each atom.
Space group P4mm (No. 99)
Inequivalent atoms, fractional coordinates:
Sr1 0.0000 0.0000 0.0000  1 Li 2.96, 4 Ir 3.06
Li1 0.0000 0.0000 0.3961  4 Ir 2.66, 4 Li 2.84, 1 Sr 2.96
Li2 0.5000 0.5000 0.5947  1 Ir 2.57, 4 Li 2.84
Ir1 0.5000 0.5000 0.2504  5 Li 2.57-2.66

Computed properties:
Energy relative to the elements, eV per atom: 0.039
DOS at the Fermi energy, states/eV per cell: 1.2
Relative energy among the computed polymorphs, meV per atom: 77

VASP calculation (PBE) on a relaxed SrLi2Ir crystal.

Cell: 3.5009 3.5009 6.2383 Å, 90.00 90.00 90.00°
With the nearest neighbours (Å) after each atom.
Space group P4/mmm (No. 123)
Inequivalent atoms, fractional coordinates:
Sr1 0.0000 0.0000 0.0000  2 Ir 3.12, 8 Li 3.22
Li1 0.5000 0.5000 0.3293  1 Li 2.13
Ir1 0.0000 0.0000 0.5000  8 Li 2.69

Computed properties:
Energy relative to the elements, eV per atom: 0.160
DOS at the Fermi energy, states/eV per cell: 1.2
Relative energy among the computed polymorphs, meV per atom: 198

Which of these has the highest energy relative to the elements?
number 3

Which of these has the highest relative energy among the computed polymorphs?
number 3

Which of these has the highest DOS at the Fermi energy?
SrLiIr

Look up the relative energy among the computed polymorphs of the third one.
198 meV per atom